The following is a DFT calculation (PBE+U) of crystalline GeMoNO2 at its relaxed geometry.

Computed properties:
DOS at the Fermi energy in states/eV/f.u.: 1.0
Total magnetic moment in μB/cell: 1.0
Raw total energy in eV per atom: -6.410

Cell and atoms, written as extended XYZ:
```
5
Lattice="4.005 0.000 0.000 0.000 4.005 0.000 0.000 0.000 3.981" Properties=species:S:1:pos:R:3 pbc="T T T"
Ge 0.000 0.000 0.000
Mo 2.003 2.003 1.990
N 2.003 2.003 0.000
O 0.000 2.003 1.990
O 2.003 0.000 1.990
```